(1)
Mg2Cu3Se7: relaxed, PBE.

```
12
Lattice="-2.9563 -12.0750 0.6454 0.4646 -11.9798 -3.3513 2.2161 -12.1436 1.6075" Properties=species:S:1:pos:R:3 pbc="T T T"
Cu 0.0000 0.0000 0.0000
Cu -0.0466 -6.1141 -0.1855
Cu -0.2290 -30.0842 -0.9129
Se -0.3881 -14.5103 1.0521
Se 0.9874 -21.7698 0.3264
Se -0.1378 -18.0992 -0.5492
Se 0.1125 -21.6880 -2.1505
Se 1.3207 -14.4627 -0.9442
Se -1.2630 -14.4285 -1.4248
Se -1.5963 -21.7356 -0.1542
Mg -0.1838 -24.1393 -0.7325
Mg -0.0918 -12.0590 -0.3659
```

Properties
final energy: -3.067 eV per atom
symmetry: No. 166
calculated volume: 24.12 Å³/atom
magnetic moment: 0.00 Bohr magnetons per cell
uncorrected formation energy: 0.2555 eV per atom

---

(2)
MgCuSe: relaxed, PBE.

```
12
Lattice="6.4263 0.0000 0.0000 0.0000 5.4568 0.0116 0.0000 2.4540 6.1266" Properties=species:S:1:pos:R:3 pbc="T T T"
Se 6.0264 4.0472 1.1491
Se 2.8133 2.6366 1.9258
Se 0.3999 3.8636 4.9891
Se 3.6130 5.2742 4.2124
Cu 5.9356 5.5878 3.3325
Cu 3.7038 4.3608 0.2692
Cu 2.7225 3.5501 5.8691
Cu 0.4907 2.3231 2.8057
Mg 1.2841 6.6150 5.1665
Mg 5.1422 1.2958 0.9718
Mg 4.4972 2.5228 4.0351
Mg 1.9291 5.3880 2.1031
```

Properties
final energy: -3.574 eV per atom
symmetry: No. 14
calculated volume: 17.89 Å³/atom
relative energy among the computed polymorphs: 0.00 kcal/mol of atoms
magnetic moment: 0.00 Bohr magnetons per cell
uncorrected formation energy: -0.5155 eV per atom

---

(3)
MgCu2Se: relaxed, PBE.

```
4
Lattice="-2.4881 0.7209 -3.7051 -3.1192 -3.0236 -1.2517 -4.3935 0.9931 0.3855" Properties=species:S:1:pos:R:3 pbc="T T T"
Se -7.5006 -0.9822 -3.4285
Cu 0.0000 0.0000 0.0000
Cu -2.5002 -0.3274 -1.1428
Mg -5.0004 -0.6548 -2.2856
```

Properties
final energy: -3.308 eV per atom
symmetry: No. 216
calculated volume: 16.33 Å³/atom
relative energy among the computed polymorphs: 4.85 kcal/mol of atoms
magnetic moment: 0.00 Bohr magnetons per cell
uncorrected formation energy: 0.0096 eV per atom

---

(4)
Mg8Cu4Se: relaxed, PBE.

```
13
Lattice="-6.6603 0.1212 2.7175 4.0208 -4.9860 -3.2758 3.6841 0.4746 6.1612" Properties=species:S:1:pos:R:3 pbc="T T T"
Se 0.0000 0.0000 0.0000
Mg 0.6249 -0.9393 5.2307
Mg 5.2494 -3.0736 1.9658
Mg -2.0277 0.4059 6.0491
Mg 2.4556 -1.4378 0.9196
Mg 3.0363 -2.0923 3.8776
Mg -1.9916 -2.2979 1.7253
Mg 0.4197 -3.4509 0.3723
Mg -0.9485 0.1899 2.8297
Cu 1.8420 0.2373 3.0806
Cu 0.5223 -2.1951 2.8015
Cu -3.3301 0.0606 1.3588
Cu 2.0104 -2.4930 -1.6379
```

Properties
final energy: -2.549 eV per atom
symmetry: No. 139
calculated volume: 18.84 Å³/atom
magnetic moment: 0.00 Bohr magnetons per cell
uncorrected formation energy: -0.0398 eV per atom

---

(5)
MgCu2Se: relaxed, PBE.

```
8
Lattice="3.3500 -4.3884 0.0000 3.3500 4.3884 0.0000 0.0000 0.0000 5.2933" Properties=species:S:1:pos:R:3 pbc="T T T"
Mg 3.3500 -1.9361 3.9700
Mg 3.3500 1.9361 1.3233
Cu 2.1824 -0.4467 1.3233
Cu 4.5175 0.4467 3.9700
Cu 2.1824 0.4467 3.9700
Cu 4.5175 -0.4467 1.3233
Se 0.0000 0.0000 0.0000
Se 0.0000 0.0000 2.6466
```

Properties
final energy: -3.161 eV per atom
symmetry: No. 63
calculated volume: 19.45 Å³/atom
relative energy among the computed polymorphs: 8.25 kcal/mol of atoms
magnetic moment: 0.00 Bohr magnetons per cell
uncorrected formation energy: 0.1571 eV per atom

---

(6)
Mg2Cu2Se: relaxed, PBE.

```
5
Lattice="1.8877 4.7640 -0.0297 -1.8877 4.7640 -0.0297 0.0000 0.6333 5.0469" Properties=species:S:1:pos:R:3 pbc="T T T"
Se 0.0000 0.0000 0.0000
Mg 0.0000 2.9270 1.2923
Mg 0.0000 7.2343 3.6953
Cu 0.0000 5.7344 1.4428
Cu 0.0000 4.4269 3.5447
```

Properties
final energy: -3.107 eV per atom
symmetry: No. 12
calculated volume: 18.17 Å³/atom
relative energy among the computed polymorphs: 4.59 kcal/mol of atoms
magnetic moment: 0.00 Bohr magnetons per cell
uncorrected formation energy: -0.1341 eV per atom

---

(7)
MgCuSe2: relaxed, PBE.

```
4
Lattice="6.6531 -0.0321 -0.0007 4.7845 4.6232 0.0007 -5.7038 -2.3331 2.5078" Properties=species:S:1:pos:R:3 pbc="T T T"
Cu 5.2586 2.1108 0.0000
Se 0.3945 0.1583 0.0000
Se 2.9187 2.5012 1.2543
Mg 2.8809 -0.2167 1.2536
```

Properties
final energy: -3.559 eV per atom
symmetry: No. 44
calculated volume: 19.38 Å³/atom
magnetic moment: 0.00 Bohr magnetons per cell
uncorrected formation energy: -0.3938 eV per atom

---

(8)
Mg2CuSe3: relaxed, PBE.

```
12
Lattice="-4.8138 2.0374 4.4177 -6.6372 -1.5258 -0.6777 0.9585 -5.8269 3.7318" Properties=species:S:1:pos:R:3 pbc="T T T"
Mg -9.5480 0.4265 3.1184
Mg -1.9030 0.0850 0.6215
Mg -1.4237 -2.8284 2.4874
Mg -9.0688 -2.4869 4.9844
Se -3.1941 -4.8063 3.1230
Se -6.1492 -2.4973 0.9492
Se -3.0621 -0.6983 2.9652
Se -4.3433 -2.8180 6.5226
Se -7.4304 -4.6170 4.5066
Se -7.2984 -0.5091 4.3488
Cu -5.0155 -0.2816 4.1175
Cu -5.4770 -5.0337 3.3543
```

Properties
final energy: -3.646 eV per atom
symmetry: No. 63
calculated volume: 22.74 Å³/atom
relative energy among the computed polymorphs: 2.31 kcal/mol of atoms
magnetic moment: 0.00 Bohr magnetons per cell
uncorrected formation energy: -0.6897 eV per atom

---

(9)
MgCu2Se: relaxed, PBE.

```
8
Lattice="-3.1046 2.2073 1.4484 1.2828 -3.2914 2.0321 6.0337 5.3257 4.8171" Properties=species:S:1:pos:R:3 pbc="T T T"
Mg 1.3287 -0.1271 3.0418
Mg 2.8831 4.3686 5.2558
Cu 5.1546 3.2499 6.0963
Cu 3.5365 1.8216 4.8045
Cu 0.6753 2.4199 3.4932
Cu -0.9428 0.9917 2.2013
Se 3.0168 2.6628 2.4086
Se 0.0000 0.0000 0.0000
```

Properties
final energy: -3.457 eV per atom
symmetry: No. 194
calculated volume: 16.86 Å³/atom
relative energy among the computed polymorphs: 1.43 kcal/mol of atoms
magnetic moment: 0.00 Bohr magnetons per cell
uncorrected formation energy: -0.1386 eV per atom

---

(10)
MgCuSe: relaxed, PBE.

```
3
Lattice="4.8437 0.0351 -0.0406 3.4694 3.3856 0.0054 1.3743 0.5287 3.3088" Properties=species:S:1:pos:R:3 pbc="T T T"
Mg 6.0339 2.4708 1.0632
Cu 1.4251 0.5499 3.2844
Se 3.6026 1.4574 2.2349
```

Properties
final energy: -3.239 eV per atom
symmetry: No. 42
calculated volume: 17.99 Å³/atom
relative energy among the computed polymorphs: 7.72 kcal/mol of atoms
magnetic moment: 0.00 Bohr magnetons per cell
uncorrected formation energy: -0.1808 eV per atom

---

(11)
MgCuSe2: relaxed, PBE.

```
4
Lattice="-2.9060 2.1534 -3.0683 1.0823 0.1059 -4.6167 -2.5194 -2.5738 -3.0861" Properties=species:S:1:pos:R:3 pbc="T T T"
Se -1.0858 -0.0786 -2.6928
Se 0.0000 0.0000 0.0000
Cu -2.1715 -0.1572 -5.3855
Mg -3.2573 -0.2358 -8.0783
```

Properties
final energy: -3.025 eV per atom
symmetry: No. 216
calculated volume: 18.86 Å³/atom
magnetic moment: 0.00 Bohr magnetons per cell
uncorrected formation energy: 0.1397 eV per atom

---

(12)
Mg3CuSe3: relaxed, PBE.

```
14
Lattice="-8.3505 1.9563 3.8273 3.8543 -8.4913 1.2107 2.2668 1.6163 4.1196" Properties=species:S:1:pos:R:3 pbc="T T T"
Se -0.6862 0.3137 4.7553
Se 2.1097 -6.1646 2.7580
Se -1.5432 -5.2325 4.4023
Se -2.7190 -2.5087 6.9811
Se -4.3391 1.2459 6.3995
Se 0.4896 -2.4101 2.1764
Mg -1.0757 -0.2172 2.1774
Mg 1.6513 -0.7247 3.8765
Mg 3.9570 -5.9562 4.6602
Mg -6.1864 1.0374 4.4973
Mg -1.1537 -4.7015 6.9802
Mg -3.8807 -4.1940 5.2811
Cu 0.3523 -4.5936 3.1086
Cu -2.5818 -0.3252 6.0489
```

Properties
final energy: -3.441 eV per atom
symmetry: No. 11
calculated volume: 27.16 Å³/atom
relative energy among the computed polymorphs: 1.68 kcal/mol of atoms
magnetic moment: 0.00 Bohr magnetons per cell
uncorrected formation energy: -0.6794 eV per atom

---

Number 1: N(E_F) 0.42 states/eV per atom. Number 2: N(E_F) 0.00 states/eV per atom. Number 3: N(E_F) 0.24 states/eV per atom. Number 4: N(E_F) 0.34 states/eV per atom. Number 5: N(E_F) 0.11 states/eV per atom. Number 6: N(E_F) 0.19 states/eV per atom. Number 7: N(E_F) 0.67 states/eV per atom. Number 8: N(E_F) 0.68 states/eV per atom. Number 9: N(E_F) 0.13 states/eV per atom. Number 10: N(E_F) 0.44 states/eV per atom. Number 11: N(E_F) 0.65 states/eV per atom. Number 12: N(E_F) 0.19 states/eV per atom.